Entry 1:
## GaIrPd2S (PBE)

Data for a relaxed GaIrPd2S crystal.

Output
formation energy from raw total energies: 21.0 kcal/mol of atoms
density of states at the Fermi level: 1.45 states/eV/atom
magnetic moment: 0.74 μB/cell

Geometry as extended XYZ:
```
5
Lattice="-4.4136 0.8568 -0.9543 -0.1401 -3.7629 -2.7306 -1.2750 -2.5623 3.5964" Properties=species:S:1:pos:R:3 pbc="T T T"
S -2.9143 -2.7342 -0.0442
Ir -0.0700 -1.8815 -1.3653
Ga 0.0000 0.0000 0.0000
Pd -0.6375 -1.2811 1.7982
Pd -2.2068 0.4284 -0.4771
```

=====

Entry 2:
## PrSm6HoEr2 (PBE)

Data for a relaxed PrSm6HoEr2 crystal.

Output
density of states at the Fermi level: 1.44 states/eV/atom
magnetic moment: 0.00 μB/cell
formation enthalpy at 0 K: 117 meV/atom

Geometry as extended XYZ:
```
20
Lattice="9.1709 -1.9303 -2.0032 0.8355 8.6247 -1.9818 0.8355 -2.3001 8.5453" Properties=species:S:1:pos:R:3 pbc="T T T"
Pr 3.1282 7.8192 -2.1714
Pr 7.7137 -3.4249 6.7317
Sm 1.2392 -0.8379 6.1305
Sm 5.0173 -0.7979 6.1720
Sm 9.6027 5.2322 -1.5702
Sm 5.8246 5.1922 -1.6117
Sm 4.0939 6.9150 1.1665
Sm 2.1626 4.4500 -1.3917
Sm 6.7480 -2.5208 3.3937
Sm 8.6793 -0.0557 5.9519
Sm 2.0728 4.7543 2.5153
Sm 4.1836 3.0220 0.7176
Sm 8.7691 -0.3600 2.0449
Sm 6.6583 1.3723 3.8427
Ho 3.1282 1.7044 3.7207
Ho 7.7137 2.6898 0.8396
Er 5.3886 4.4013 3.4701
Er 0.8678 2.0549 1.0350
Er 5.4533 -0.0070 1.0902
Er 9.9740 2.3394 3.5253
```

=====

Entry 3:
## Y2AlHg (PBE)

Data for a relaxed Y2AlHg crystal.

Output
density of states at the Fermi level: 1.43 states/eV/atom
magnetic moment: 0.00 μB/cell
formation enthalpy at 0 K: 71 meV/atom
excess energy over the best structure of this formula in the dataset: 2.13 eV/f.u.

Geometry as extended XYZ:
```
4
Lattice="-3.5040 -0.7045 -3.7996 1.2330 -2.8541 -4.1886 -2.1836 -4.6856 -0.6982" Properties=species:S:1:pos:R:3 pbc="T T T"
Y 0.0000 0.0000 0.0000
Y -1.1136 -2.0611 -2.1716
Hg -3.3409 -6.1832 -6.5148
Al -2.2273 -4.1221 -4.3432
```

=====

Entry 4:
## ZnCoIr2 (PBE)

Data for a relaxed ZnCoIr2 crystal.

Output
density of states at the Fermi level: 1.24 states/eV/atom
magnetic moment: 1.14 μB/cell
formation enthalpy at 0 K: 12 meV/atom

Geometry as extended XYZ:
```
4
Lattice="-3.2827 -0.6013 -1.7334 -0.9425 -1.2506 2.2189 -2.7513 3.3681 4.0422" Properties=species:S:1:pos:R:3 pbc="T T T"
Co -4.4194 1.3070 3.8368
Ir -2.7308 3.3180 4.0207
Ir -2.5649 0.2275 0.6991
Zn -1.8598 1.0904 3.1440
```

=====

Entry 5:
## YTlZn (PBE)

Data for a relaxed YTlZn crystal.

Output
density of states at the Fermi level: 0.74 states/eV/atom
magnetic moment: 0.00 μB/cell
formation enthalpy at 0 K: -80 meV/atom

Geometry as extended XYZ:
```
3
Lattice="-3.5603 3.2742 -2.4125 -4.8670 -2.1781 -0.8855 3.5050 1.0294 3.9838" Properties=species:S:1:pos:R:3 pbc="T T T"
Tl -0.0360 0.0047 -0.0141
Y -5.6346 0.7328 -2.2051
Zn -2.7567 0.3585 -1.0788
```

=====

Entry 6:
## EuMgGa4 (PBE)

Data for a relaxed EuMgGa4 crystal.

Output
density of states at the Fermi level: 0.73 states/eV/atom
magnetic moment: 7.33 μB/cell
formation enthalpy at 0 K: -280 meV/atom

Geometry as extended XYZ:
```
6
Lattice="-4.4532 -2.7956 1.9423 -2.1688 -4.2291 -2.9716 0.5715 -5.2759 1.8048" Properties=species:S:1:pos:R:3 pbc="T T T"
Eu 0.0000 0.0000 0.0000
Mg -1.5126 -3.0752 0.1939
Ga -4.0673 -5.0500 -0.4177
Ga -2.6972 -5.5734 1.9704
Ga -3.7816 -7.6878 0.4847
Ga -1.5550 -6.2901 -0.4864
```

=====

Entry 7:
## NdUTi2O8 (PBE)

Data for a relaxed NdUTi2O8 crystal.

Output
formation energy from raw total energies: -72.9 kcal/mol of atoms
density of states at the Fermi level: 0.23 states/eV/atom
magnetic moment: 1.00 μB/cell

Geometry as extended XYZ:
```
12
Lattice="-1.9413 0.0048 4.8178 3.7475 -3.2629 1.5133 2.3683 5.9956 -1.8517" Properties=species:S:1:pos:R:3 pbc="T T T"
Nd 0.6650 2.1856 3.0658
U 0.0000 0.0000 0.0000
Ti 0.9031 -1.6291 3.1656
Ti 3.5094 0.5518 1.4136
O 2.0404 -1.8066 4.6277
O 0.7767 -0.1022 2.1095
O 3.0025 1.8462 2.6433
O 5.1816 0.8128 0.6518
O 2.2730 0.6096 0.0306
O 3.5806 -1.0614 2.3285
O 3.9451 3.1058 0.1224
O 1.5867 4.2779 2.0992
```

=====

Entry 8:
## MnCd2HPd (PBE)

Data for a relaxed MnCd2HPd crystal.

Output
VASP energy: -3.882 eV/atom
density of states at the Fermi level: 0.41 states/eV/atom
magnetic moment: 3.75 μB/cell

Geometry as extended XYZ:
```
5
Lattice="4.6870 0.0000 0.0000 0.0000 4.6870 0.0000 0.0000 0.0000 3.3667" Properties=species:S:1:pos:R:3 pbc="T T T"
H 0.0000 0.0000 0.0000
Mn 0.0000 0.0000 1.6834
Pd 2.3435 2.3435 1.6834
Cd 0.0000 2.3435 0.0000
Cd 2.3435 0.0000 0.0000
```